First-principles (PBE with a Hubbard U) data for MoN2OF after structural relaxation, as listed in the Alexandria database.

Cell: 3.4962 3.4962 4.2346 Å, 90.00 90.00 90.00°
Closest atoms and distances in Å follow each position.
Positions (direct):
Mo1 0.0000 0.0000 0.0000  4 O 2.47, 8 N 2.75
N1 0.0000 0.5000 0.5000  2 F 1.75
N2 0.5000 0.0000 0.5000  2 F 1.75
O1 0.5000 0.5000 0.0000  2 F 2.12
F1 0.5000 0.5000 0.5000  4 N 1.75

## Properties
M_tot ... 0.79 Bohr magnetons per cell
Total energy ... -0.31893 Ry/atom
D(E_F) ... 1.62 states/eV/f.u.
Space group ... No. 123